## A
DFT (PBE) results for a relaxed structure of Zn2CoRu.

Geometry as CIF:
```
data_Zn2CoRu
_chemical_formula_sum 'Zn4 Co2 Ru2'
_cell_length_a 2.8825
_cell_length_b 4.2819
_cell_length_c 8.5565
_cell_angle_alpha 90.00
_cell_angle_beta 90.00
_cell_angle_gamma 90.00
_space_group_name_H-M_alt 'I m m 2'
_space_group_IT_number 44
_space_group_name_Hall 'I 2 -2'
loop_
_atom_site_label
_atom_site_type_symbol
_atom_site_fract_x
_atom_site_fract_y
_atom_site_fract_z
Zn1 Zn 0.0000 0.0000 0.0000
Zn2 Zn 0.0000 0.5000 0.2444
Co1 Co 0.0000 0.5000 0.7436
Ru1 Ru 0.0000 0.0000 0.4825
```

Output
For the total magnetization, the calculation gives 3.4 μB/cell. As for the calculated volume: 106 Å³ per cell.


## B
DFT (PBE) results for a relaxed structure of Zn2CoRu.

Geometry as CIF:
```
data_Zn2CoRu
_chemical_formula_sum 'Zn2 Co1 Ru1'
_cell_length_a 2.5993
_cell_length_b 4.2267
_cell_length_c 4.8473
_cell_angle_alpha 90.00
_cell_angle_beta 96.94
_cell_angle_gamma 90.00
_space_group_name_H-M_alt 'P 1 2/m 1'
_space_group_IT_number 10
_space_group_name_Hall '-P 2y'
loop_
_atom_site_label
_atom_site_type_symbol
_atom_site_fract_x
_atom_site_fract_y
_atom_site_fract_z
Zn1 Zn 0.2073 0.0000 0.2560
Co1 Co 0.0000 0.5000 0.5000
Ru1 Ru 0.5000 0.5000 0.0000
```

Output
For the total magnetization, the calculation gives 1.3 μB/cell. As for the calculated volume: 53 Å³ per cell.


It is B that is the least stable of them.


## A
DFT (PBE) results for a relaxed structure of Zn2Co2Ru.

Geometry as CIF:
```
data_Zn2Co2Ru
_chemical_formula_sum 'Zn4 Co4 Ru2'
_cell_length_a 6.8433
_cell_length_b 6.8433
_cell_length_c 2.6940
_cell_angle_alpha 90.00
_cell_angle_beta 90.00
_cell_angle_gamma 90.00
_space_group_name_H-M_alt 'P 4/m b m'
_space_group_IT_number 127
_space_group_name_Hall '-P 4 2ab'
loop_
_atom_site_label
_atom_site_type_symbol
_atom_site_fract_x
_atom_site_fract_y
_atom_site_fract_z
Zn1 Zn 0.1278 0.3722 0.0000
Co1 Co 0.1723 0.6723 0.5000
Ru1 Ru 0.0000 0.0000 0.0000
```

Output
For the total magnetization, the calculation gives 3.8 μB/cell. As for the calculated volume: 126 Å³ per cell.


## B
DFT (PBE) results for a relaxed structure of Zn2Co2Ru.

Geometry as CIF:
```
data_Zn2Co2Ru
_chemical_formula_sum 'Zn4 Co4 Ru2'
_cell_length_a 6.8906
_cell_length_b 6.8906
_cell_length_c 2.7382
_cell_angle_alpha 90.00
_cell_angle_beta 90.00
_cell_angle_gamma 90.00
_space_group_name_H-M_alt 'P 4/m b m'
_space_group_IT_number 127
_space_group_name_Hall '-P 4 2ab'
loop_
_atom_site_label
_atom_site_type_symbol
_atom_site_fract_x
_atom_site_fract_y
_atom_site_fract_z
Zn1 Zn 0.1791 0.3209 0.0000
Co1 Co 0.1169 0.6169 0.5000
Ru1 Ru 0.0000 0.0000 0.5000
```

Output
For the total magnetization, the calculation gives 7.9 μB/cell. As for the calculated volume: 130 Å³ per cell.


It is B that is the least stable of them.


## A
DFT (PBE) results for a relaxed structure of Zr2Co2Ru.

Geometry as CIF:
```
data_Zr2Co2Ru
_chemical_formula_sum 'Zr4 Co4 Ru2'
_cell_length_a 7.1163
_cell_length_b 7.1163
_cell_length_c 3.1928
_cell_angle_alpha 90.00
_cell_angle_beta 90.00
_cell_angle_gamma 90.00
_space_group_name_H-M_alt 'P 4/m b m'
_space_group_IT_number 127
_space_group_name_Hall '-P 4 2ab'
loop_
_atom_site_label
_atom_site_type_symbol
_atom_site_fract_x
_atom_site_fract_y
_atom_site_fract_z
Zr1 Zr 0.1633 0.3367 0.0000
Co1 Co 0.1347 0.6347 0.5000
Ru1 Ru 0.0000 0.0000 0.0000
```

Output
For the total magnetization, the calculation gives 0.0 μB/cell. As for the calculated volume: 162 Å³ per cell.


## B
DFT (PBE) results for a relaxed structure of Zr2Co2Ru.

Geometry as CIF:
```
data_Zr2Co2Ru
_chemical_formula_sum 'Zr4 Co4 Ru2'
_cell_length_a 6.6672
_cell_length_b 6.6672
_cell_length_c 3.5489
_cell_angle_alpha 90.00
_cell_angle_beta 90.00
_cell_angle_gamma 90.00
_space_group_name_H-M_alt 'P 4/m b m'
_space_group_IT_number 127
_space_group_name_Hall '-P 4 2ab'
loop_
_atom_site_label
_atom_site_type_symbol
_atom_site_fract_x
_atom_site_fract_y
_atom_site_fract_z
Zr1 Zr 0.1847 0.3153 0.0000
Co1 Co 0.1185 0.6185 0.5000
Ru1 Ru 0.0000 0.0000 0.5000
```

Output
For the total magnetization, the calculation gives 0.0 μB/cell. As for the calculated volume: 158 Å³ per cell.


## C
DFT (PBE) results for a relaxed structure of Zr2Co2Ru.

Geometry as CIF:
```
data_Zr2Co2Ru
_chemical_formula_sum 'Zr4 Co4 Ru2'
_cell_length_a 3.2354
_cell_length_b 3.2354
_cell_length_c 15.8634
_cell_angle_alpha 90.00
_cell_angle_beta 90.00
_cell_angle_gamma 90.00
_space_group_name_H-M_alt 'I 4/m m m'
_space_group_IT_number 139
_space_group_name_Hall '-I 4 2'
loop_
_atom_site_label
_atom_site_type_symbol
_atom_site_fract_x
_atom_site_fract_y
_atom_site_fract_z
Zr1 Zr 0.0000 0.0000 0.1061
Co1 Co 0.0000 0.5000 0.2500
Ru1 Ru 0.0000 0.0000 0.5000
```

Output
For the total magnetization, the calculation gives 4.0 μB/cell. As for the calculated volume: 166 Å³ per cell.


It is A that is the least stable of them.


## A
DFT (PBE) results for a relaxed structure of ZrCo2Ru2.

Geometry as CIF:
```
data_ZrCo2Ru2
_chemical_formula_sum 'Zr2 Co4 Ru4'
_cell_length_a 7.2179
_cell_length_b 7.2179
_cell_length_c 2.7376
_cell_angle_alpha 90.00
_cell_angle_beta 90.00
_cell_angle_gamma 90.00
_space_group_name_H-M_alt 'P 4/m b m'
_space_group_IT_number 127
_space_group_name_Hall '-P 4 2ab'
loop_
_atom_site_label
_atom_site_type_symbol
_atom_site_fract_x
_atom_site_fract_y
_atom_site_fract_z
Zr1 Zr 0.0000 0.0000 0.0000
Co1 Co 0.1710 0.3290 0.5000
Ru1 Ru 0.1255 0.6255 0.0000
```

Output
For the total magnetization, the calculation gives 4.5 μB/cell. As for the calculated volume: 143 Å³ per cell.


## B
DFT (PBE) results for a relaxed structure of ZrCo2Ru2.

Geometry as CIF:
```
data_ZrCo2Ru2
_chemical_formula_sum 'Zr2 Co4 Ru4'
_cell_length_a 7.1632
_cell_length_b 7.1632
_cell_length_c 2.7526
_cell_angle_alpha 90.00
_cell_angle_beta 90.00
_cell_angle_gamma 90.00
_space_group_name_H-M_alt 'P 4/m b m'
_space_group_IT_number 127
_space_group_name_Hall '-P 4 2ab'
loop_
_atom_site_label
_atom_site_type_symbol
_atom_site_fract_x
_atom_site_fract_y
_atom_site_fract_z
Zr1 Zr 0.0000 0.0000 0.0000
Co1 Co 0.1193 0.3807 0.0000
Ru1 Ru 0.1745 0.6745 0.5000
```

Output
For the total magnetization, the calculation gives 4.5 μB/cell. As for the calculated volume: 141 Å³ per cell.


## C
DFT (PBE) results for a relaxed structure of ZrCo2Ru2.

Geometry as CIF:
```
data_ZrCo2Ru2
_chemical_formula_sum 'Zr2 Co4 Ru4'
_cell_length_a 3.8508
_cell_length_b 3.8508
_cell_length_c 10.3798
_cell_angle_alpha 90.00
_cell_angle_beta 90.00
_cell_angle_gamma 90.00
_space_group_name_H-M_alt 'I 4/m m m'
_space_group_IT_number 139
_space_group_name_Hall '-I 4 2'
loop_
_atom_site_label
_atom_site_type_symbol
_atom_site_fract_x
_atom_site_fract_y
_atom_site_fract_z
Zr1 Zr 0.0000 0.0000 0.0000
Co1 Co 0.0000 0.5000 0.2500
Ru1 Ru 0.0000 0.0000 0.3896
```

Output
For the total magnetization, the calculation gives 3.7 μB/cell. As for the calculated volume: 154 Å³ per cell.


It is C that is the least stable of them.


## A
DFT (PBE) results for a relaxed structure of Co2Sb2S.

Geometry as CIF:
```
data_Co2Sb2S
_chemical_formula_sum 'Co4 Sb4 S2'
_cell_length_a 6.9886
_cell_length_b 6.9886
_cell_length_c 3.3963
_cell_angle_alpha 90.00
_cell_angle_beta 90.00
_cell_angle_gamma 90.00
_space_group_name_H-M_alt 'P 4/m b m'
_space_group_IT_number 127
_space_group_name_Hall '-P 4 2ab'
loop_
_atom_site_label
_atom_site_type_symbol
_atom_site_fract_x
_atom_site_fract_y
_atom_site_fract_z
Co1 Co 0.1343 0.3657 0.0000
Sb1 Sb 0.1588 0.6588 0.5000
S1 S 0.0000 0.0000 0.0000
```

Output
For the total magnetization, the calculation gives 0.0 μB/cell. As for the calculated volume: 166 Å³ per cell.


## B
DFT (PBE) results for a relaxed structure of Co2Sb2S.

Geometry as CIF:
```
data_Co2Sb2S
_chemical_formula_sum 'Co4 Sb4 S2'
_cell_length_a 4.3114
_cell_length_b 4.3114
_cell_length_c 10.2352
_cell_angle_alpha 90.00
_cell_angle_beta 90.00
_cell_angle_gamma 90.00
_space_group_name_H-M_alt 'I 4/m m m'
_space_group_IT_number 139
_space_group_name_Hall '-I 4 2'
loop_
_atom_site_label
_atom_site_type_symbol
_atom_site_fract_x
_atom_site_fract_y
_atom_site_fract_z
Co1 Co 0.0000 0.0000 0.1137
Sb1 Sb 0.0000 0.5000 0.2500
S1 S 0.0000 0.0000 0.5000
```

Output
For the total magnetization, the calculation gives 2.6 μB/cell. As for the calculated volume: 190 Å³ per cell.


It is B that is the least stable of them.


## A
DFT (PBE) results for a relaxed structure of Co3SbS.

Geometry as CIF:
```
data_Co3SbS
_chemical_formula_sum 'Co3 Sb1 S1'
_cell_length_a 4.2001
_cell_length_b 4.2001
_cell_length_c 4.2001
_cell_angle_alpha 90.00
_cell_angle_beta 90.00
_cell_angle_gamma 90.00
_space_group_name_H-M_alt 'P m -3 m'
_space_group_IT_number 221
_space_group_name_Hall '-P 4 2 3'
loop_
_atom_site_label
_atom_site_type_symbol
_atom_site_fract_x
_atom_site_fract_y
_atom_site_fract_z
Co1 Co 0.0000 0.0000 0.5000
Sb1 Sb 0.5000 0.5000 0.5000
S1 S 0.0000 0.0000 0.0000
```

Output
For the total magnetization, the calculation gives 2.0 μB/cell. As for the calculated volume: 74 Å³ per cell.


## B
DFT (PBE) results for a relaxed structure of Co3SbS.

Geometry as CIF:
```
data_Co3SbS
_chemical_formula_sum 'Co3 Sb1 S1'
_cell_length_a 4.6934
_cell_length_b 4.6934
_cell_length_c 4.6934
_cell_angle_alpha 90.00
_cell_angle_beta 90.00
_cell_angle_gamma 90.00
_space_group_name_H-M_alt 'P m -3 m'
_space_group_IT_number 221
_space_group_name_Hall '-P 4 2 3'
loop_
_atom_site_label
_atom_site_type_symbol
_atom_site_fract_x
_atom_site_fract_y
_atom_site_fract_z
Co1 Co 0.0000 0.0000 0.5000
Sb1 Sb 0.0000 0.0000 0.0000
S1 S 0.5000 0.5000 0.5000
```

Output
For the total magnetization, the calculation gives 3.5 μB/cell. As for the calculated volume: 103 Å³ per cell.


It is B that is the least stable of them.